DFT (PBE) results for a relaxed structure of CaY2CF.

The structure in CIF format:
```
data_CaY2CF
_chemical_formula_sum 'Ca1 Y2 C1 F1'
_space_group_name_H-M_alt 'P 1'
_space_group_IT_number 1
_cell_length_a 4.673
_cell_length_b 4.673
_cell_length_c 4.459
_cell_angle_alpha 90.00
_cell_angle_beta 90.00
_cell_angle_gamma 90.00
loop_
_space_group_symop_operation_xyz
'x,y,z'
loop_
_atom_site_label
_atom_site_type_symbol
_atom_site_fract_x
_atom_site_fract_y
_atom_site_fract_z
_atom_site_occupancy
Ca1 Ca 0.000 0.000 0.000 1
Y1 Y 0.000 0.500 0.500 1
Y2 Y 0.500 0.000 0.500 1
C1 C 0.500 0.500 0.000 1
F1 F 0.000 0.000 0.500 1
```

Results
Energy in eV per atom: -5.162
ΔE_f (raw) in eV/atom: 0.043
Space-group type: No. 123